(1)
# YZrRh2 | Alexandria | PBEsol | relaxed
# ρ: 8.8 Mg/m³
# V: 18.14 A^3/atom
# total moment: 0.00 μB per formula unit
# electronic total energy: -35.17 eV for the cell shown
data_YZrRh2
_chemical_formula_sum 'Y1 Zr1 Rh2'
_symmetry_space_group_name_H-M 'P 4/m m m'
_symmetry_Int_Tables_number 123
_symmetry_space_group_name_Hall '-P 4 2'
_cell_length_a 4.6835
_cell_length_b 4.6835
_cell_length_c 3.3074
_cell_angle_alpha 90.00
_cell_angle_beta 90.00
_cell_angle_gamma 90.00
loop_
_atom_site_label
_atom_site_type_symbol
_atom_site_fract_x
_atom_site_fract_y
_atom_site_fract_z
Y1 Y 0.0000 0.0000 0.0000
Zr1 Zr 0.5000 0.5000 0.0000
Rh1 Rh 0.0000 0.5000 0.5000

---

(2)
# YZr2Rh | Alexandria | PBEsol | relaxed
# ρ: 7.4 Mg/m³
# V: 21.01 A^3/atom
# total moment: 0.00 μB per formula unit
# electronic total energy: -69.20 eV for the cell shown
data_YZr2Rh
_chemical_formula_sum 'Y2 Zr4 Rh2'
_symmetry_space_group_name_H-M 'I m m m'
_symmetry_Int_Tables_number 71
_symmetry_space_group_name_Hall '-I 2 2'
_cell_length_a 3.3606
_cell_length_b 4.9495
_cell_length_c 10.1047
_cell_angle_alpha 90.00
_cell_angle_beta 90.00
_cell_angle_gamma 90.00
loop_
_atom_site_label
_atom_site_type_symbol
_atom_site_fract_x
_atom_site_fract_y
_atom_site_fract_z
Y1 Y 0.0000 0.0000 0.0000
Zr1 Zr 0.0000 0.5000 0.2171
Rh1 Rh 0.0000 0.0000 0.5000

---

(3)
# YZrRh2 | Alexandria | PBEsol | relaxed
# ρ: 8.3 Mg/m³
# V: 19.41 A^3/atom
# total moment: 0.00 μB per formula unit
# electronic total energy: -34.17 eV for the cell shown
data_YZrRh2
_chemical_formula_sum 'Y1 Zr1 Rh2'
_symmetry_space_group_name_H-M 'P 4 m m'
_symmetry_Int_Tables_number 99
_symmetry_space_group_name_Hall 'P 4 -2'
_cell_length_a 3.7016
_cell_length_b 3.7016
_cell_length_c 5.6672
_cell_angle_alpha 90.00
_cell_angle_beta 90.00
_cell_angle_gamma 90.00
loop_
_atom_site_label
_atom_site_type_symbol
_atom_site_fract_x
_atom_site_fract_y
_atom_site_fract_z
Y1 Y 0.0000 0.0000 0.0000
Zr1 Zr 0.5000 0.5000 0.3914
Rh1 Rh 0.0000 0.0000 0.5036
Rh2 Rh 0.5000 0.5000 0.8687

---

(4)
# YZr2Rh | Alexandria | PBEsol | relaxed
# ρ: 7.3 Mg/m³
# V: 21.21 A^3/atom
# total moment: 0.00 μB per formula unit
# electronic total energy: -33.92 eV for the cell shown
data_YZr2Rh
_chemical_formula_sum 'Y1 Zr2 Rh1'
_symmetry_space_group_name_H-M 'P 1 m 1'
_symmetry_Int_Tables_number 6
_symmetry_space_group_name_Hall 'P -2y'
_cell_length_a 3.2526
_cell_length_b 4.3171
_cell_length_c 6.2053
_cell_angle_alpha 90.00
_cell_angle_beta 103.18
_cell_angle_gamma 90.00
loop_
_atom_site_label
_atom_site_type_symbol
_atom_site_fract_x
_atom_site_fract_y
_atom_site_fract_z
Y1 Y 0.0000 0.0000 0.0000
Zr1 Zr 0.1669 0.0000 0.5411
Zr2 Zr 0.6095 0.5000 0.3164
Rh1 Rh 0.5274 0.5000 0.7525

---

(5)
# YZrRh4 | Alexandria | PBEsol | relaxed
# ρ: 9.9 Mg/m³
# V: 16.54 A^3/atom
# total moment: 0.00 μB per formula unit
# electronic total energy: -209.51 eV for the cell shown
data_YZrRh4
_chemical_formula_sum 'Y4 Zr4 Rh16'
_symmetry_space_group_name_H-M 'F -4 3 m'
_symmetry_Int_Tables_number 216
_symmetry_space_group_name_Hall 'F -4 2 3'
_cell_length_a 7.3500
_cell_length_b 7.3500
_cell_length_c 7.3500
_cell_angle_alpha 90.00
_cell_angle_beta 90.00
_cell_angle_gamma 90.00
loop_
_atom_site_label
_atom_site_type_symbol
_atom_site_fract_x
_atom_site_fract_y
_atom_site_fract_z
Y1 Y 0.0000 0.0000 0.0000
Zr1 Zr 0.2500 0.2500 0.2500
Rh1 Rh 0.1250 0.1250 0.6250

---

(6)
# YZr2Rh | Alexandria | PBEsol | relaxed
# ρ: 7.3 Mg/m³
# V: 21.17 A^3/atom
# total moment: 0.01 μB per formula unit
# electronic total energy: -34.56 eV for the cell shown
data_YZr2Rh
_chemical_formula_sum 'Y1 Zr2 Rh1'
_symmetry_space_group_name_H-M 'P 4 m m'
_symmetry_Int_Tables_number 99
_symmetry_space_group_name_Hall 'P 4 -2'
_cell_length_a 3.3259
_cell_length_b 3.3259
_cell_length_c 7.6559
_cell_angle_alpha 90.00
_cell_angle_beta 90.00
_cell_angle_gamma 90.00
loop_
_atom_site_label
_atom_site_type_symbol
_atom_site_fract_x
_atom_site_fract_y
_atom_site_fract_z
Y1 Y 0.0000 0.0000 0.0000
Zr1 Zr 0.0000 0.0000 0.5719
Zr2 Zr 0.5000 0.5000 0.3081
Rh1 Rh 0.5000 0.5000 0.7607

---

(7)
# YZr2Rh | Alexandria | PBEsol | relaxed
# ρ: 7.5 Mg/m³
# V: 20.65 A^3/atom
# total moment: 0.00 μB per formula unit
# electronic total energy: -67.81 eV for the cell shown
data_YZr2Rh
_chemical_formula_sum 'Y2 Zr4 Rh2'
_symmetry_space_group_name_H-M 'I 4/m m m'
_symmetry_Int_Tables_number 139
_symmetry_space_group_name_Hall '-I 4 2'
_cell_length_a 3.9855
_cell_length_b 3.9855
_cell_length_c 10.3992
_cell_angle_alpha 90.00
_cell_angle_beta 90.00
_cell_angle_gamma 90.00
loop_
_atom_site_label
_atom_site_type_symbol
_atom_site_fract_x
_atom_site_fract_y
_atom_site_fract_z
Y1 Y 0.0000 0.0000 0.0000
Zr1 Zr 0.0000 0.5000 0.2500
Rh1 Rh 0.0000 0.0000 0.5000

---

(8)
# YZrRh2 | Alexandria | PBEsol | relaxed
# ρ: 8.6 Mg/m³
# V: 18.60 A^3/atom
# total moment: 0.00 μB per formula unit
# electronic total energy: -70.14 eV for the cell shown
data_YZrRh2
_chemical_formula_sum 'Y2 Zr2 Rh4'
_symmetry_space_group_name_H-M 'A m m 2'
_symmetry_Int_Tables_number 38
_symmetry_space_group_name_Hall 'A 2 -2'
_cell_length_a 4.5330
_cell_length_b 3.2635
_cell_length_c 10.0592
_cell_angle_alpha 90.00
_cell_angle_beta 90.00
_cell_angle_gamma 90.00
loop_
_atom_site_label
_atom_site_type_symbol
_atom_site_fract_x
_atom_site_fract_y
_atom_site_fract_z
Y1 Y 0.0000 0.0000 0.0000
Zr1 Zr 0.5000 0.0000 0.2771
Rh1 Rh 0.0000 0.0000 0.7343
Rh2 Rh 0.5000 0.0000 0.5521

---

(9)
# YZrRh | Alexandria | PBEsol | relaxed
# ρ: 7.2 Mg/m³
# V: 21.74 A^3/atom
# total moment: 0.00 μB per formula unit
# electronic total energy: -93.38 eV for the cell shown
data_YZrRh
_chemical_formula_sum 'Y4 Zr4 Rh4'
_symmetry_space_group_name_H-M 'F -4 3 m'
_symmetry_Int_Tables_number 216
_symmetry_space_group_name_Hall 'F -4 2 3'
_cell_length_a 6.3897
_cell_length_b 6.3897
_cell_length_c 6.3897
_cell_angle_alpha 90.00
_cell_angle_beta 90.00
_cell_angle_gamma 90.00
loop_
_atom_site_label
_atom_site_type_symbol
_atom_site_fract_x
_atom_site_fract_y
_atom_site_fract_z
Y1 Y 0.0000 0.0000 0.0000
Zr1 Zr 0.2500 0.2500 0.7500
Rh1 Rh 0.0000 0.0000 0.5000

---

(10)
# Y2ZrRh2 | Alexandria | PBEsol | relaxed
# ρ: 7.5 Mg/m³
# V: 21.00 A^3/atom
# total moment: 0.00 μB per formula unit
# electronic total energy: -84.30 eV for the cell shown
data_Y2ZrRh2
_chemical_formula_sum 'Y4 Zr2 Rh4'
_symmetry_space_group_name_H-M 'P 4/m b m'
_symmetry_Int_Tables_number 127
_symmetry_space_group_name_Hall '-P 4 2ab'
_cell_length_a 6.9840
_cell_length_b 6.9840
_cell_length_c 4.3054
_cell_angle_alpha 90.00
_cell_angle_beta 90.00
_cell_angle_gamma 90.00
loop_
_atom_site_label
_atom_site_type_symbol
_atom_site_fract_x
_atom_site_fract_y
_atom_site_fract_z
Y1 Y 0.1692 0.3308 0.0000
Zr1 Zr 0.0000 0.0000 0.5000
Rh1 Rh 0.1397 0.6397 0.5000

---

(11)
# ZnRh3 | Alexandria | PBEsol | relaxed
# ρ: 11.6 Mg/m³
# V: 13.35 A^3/atom
# total moment: 0.00 μB per formula unit
# electronic total energy: -53.01 eV for the cell shown
data_ZnRh3
_chemical_formula_sum 'Zn2 Rh6'
_symmetry_space_group_name_H-M 'C m m m'
_symmetry_Int_Tables_number 65
_symmetry_space_group_name_Hall '-C 2 2'
_cell_length_a 5.2963
_cell_length_b 7.5421
_cell_length_c 2.6731
_cell_angle_alpha 90.00
_cell_angle_beta 90.00
_cell_angle_gamma 90.00
loop_
_atom_site_label
_atom_site_type_symbol
_atom_site_fract_x
_atom_site_fract_y
_atom_site_fract_z
Zn1 Zn 0.0000 0.0000 0.0000
Rh1 Rh 0.0000 0.5000 0.0000
Rh2 Rh 0.2500 0.2500 0.5000

---

(12)
# ZnRh | Alexandria | PBEsol | relaxed
# ρ: 10.5 Mg/m³
# V: 13.31 A^3/atom
# total moment: 0.00 μB per formula unit
# electronic total energy: -41.35 eV for the cell shown
data_ZnRh
_chemical_formula_sum 'Zn4 Rh4'
_symmetry_space_group_name_H-M 'C 1 2/m 1'
_symmetry_Int_Tables_number 12
_symmetry_space_group_name_Hall '-C 2y'
_cell_length_a 9.4819
_cell_length_b 2.7649
_cell_length_c 4.4217
_cell_angle_alpha 90.00
_cell_angle_beta 113.25
_cell_angle_gamma 90.00
loop_
_atom_site_label
_atom_site_type_symbol
_atom_site_fract_x
_atom_site_fract_y
_atom_site_fract_z
Zn1 Zn 0.1187 0.0000 0.2946
Rh1 Rh 0.1304 0.5000 0.7981

---

(13)
# ZnRh3 | Alexandria | PBEsol | relaxed
# ρ: 11.6 Mg/m³
# V: 13.35 A^3/atom
# total moment: 0.00 μB per formula unit
# electronic total energy: -53.15 eV for the cell shown
data_ZnRh3
_chemical_formula_sum 'Zn2 Rh6'
_symmetry_space_group_name_H-M 'C 1 2/m 1'
_symmetry_Int_Tables_number 12
_symmetry_space_group_name_Hall '-C 2y'
_cell_length_a 8.7971
_cell_length_b 2.6904
_cell_length_c 4.5854
_cell_angle_alpha 90.00
_cell_angle_beta 100.21
_cell_angle_gamma 90.00
loop_
_atom_site_label
_atom_site_type_symbol
_atom_site_fract_x
_atom_site_fract_y
_atom_site_fract_z
Zn1 Zn 0.0000 0.0000 0.0000
Rh1 Rh 0.0000 0.5000 0.5000
Rh2 Rh 0.2477 0.0000 0.7472

---

(14)
# ZnRh2 | Alexandria | PBEsol | relaxed
# ρ: 11.2 Mg/m³
# V: 13.35 A^3/atom
# total moment: 0.00 μB per formula unit
# electronic total energy: -73.56 eV for the cell shown
data_ZnRh2
_chemical_formula_sum 'Zn4 Rh8'
_symmetry_space_group_name_H-M 'C 1 2/m 1'
_symmetry_Int_Tables_number 12
_symmetry_space_group_name_Hall '-C 2y'
_cell_length_a 9.6688
_cell_length_b 2.7044
_cell_length_c 6.3636
_cell_angle_alpha 90.00
_cell_angle_beta 105.72
_cell_angle_gamma 90.00
loop_
_atom_site_label
_atom_site_type_symbol
_atom_site_fract_x
_atom_site_fract_y
_atom_site_fract_z
Zn1 Zn 0.0283 0.0000 0.3049
Rh1 Rh 0.1392 0.5000 0.0207
Rh2 Rh 0.1951 0.5000 0.6370

---

| no. | E_form (eV/atom) |
| --- | --- |
| 1 | -0.744 |
| 2 | -0.365 |
| 3 | -0.496 |
| 4 | -0.195 |
| 5 | -0.652 |
| 6 | -0.354 |
| 7 | -0.192 |
| 8 | -0.720 |
| 9 | 0.235 |
| 10 | -0.628 |
| 11 | -0.127 |
| 12 | -0.309 |
| 13 | -0.144 |
| 14 | -0.177 |